Ni8RuRh2 | PBE-GGA | optimized geometry

The structure in POSCAR format:
```
Ni8RuRh2
1.0
4.0472 -1.8024 0.0000
4.0472 1.8024 0.0000
-2.4024 0.0000 8.9639
Ni Ru Rh
8 1 2
Direct
0.0474 0.0474 0.3192 Ni
0.1322 0.1322 0.9535 Ni
0.2277 0.2277 0.5894 Ni
0.4098 0.4098 0.8678 Ni
0.5902 0.5902 0.1322 Ni
0.7723 0.7723 0.4106 Ni
0.8678 0.8678 0.0465 Ni
0.9526 0.9526 0.6808 Ni
0.5000 0.5000 0.5000 Ru
0.3169 0.3169 0.2228 Rh
0.6831 0.6831 0.7772 Rh
```

Properties
**DFT total energy**: -6.3383 eV/atom
**ΔE_f**: 0.046 eV per atom

---

NiRuRh2 | PBE-GGA | optimized geometry

The structure in POSCAR format:
```
NiRuRh2
1.0
2.6866 0.0000 0.0000
0.0000 3.7581 0.0000
-0.0028 0.0000 5.3142
Ni Ru Rh
1 1 2
Direct
0.0000 0.0000 0.0000 Ni
0.5014 0.5000 0.7597 Ru
0.0002 0.0000 0.5124 Rh
0.4990 0.5000 0.2424 Rh
```

Properties
**DFT total energy**: -7.3788 eV/atom
**Energy relative to the lowest polymorph listed for this composition**: 0.12 eV/f.u.
**ΔE_f**: 0.061 eV per atom

---

NiRuRh | PBE-GGA | optimized geometry

The structure in POSCAR format:
```
NiRuRh
1.0
4.2408 -1.8599 0.0000
4.2408 1.8599 0.0000
-1.6531 0.0000 4.9954
Ni Ru Rh
2 2 2
Direct
0.1722 0.1722 0.0813 Ni
0.8278 0.8278 0.9187 Ni
0.1690 0.1690 0.5809 Ru
0.8310 0.8310 0.4191 Ru
0.4985 0.4985 0.7531 Rh
0.5015 0.5015 0.2469 Rh
```

Properties
**DFT total energy**: -7.3989 eV/atom
**Energy relative to the lowest polymorph listed for this composition**: 0.09 eV/f.u.
**ΔE_f**: 0.071 eV per atom

---

NiRuRh | PBE-GGA | optimized geometry

The structure in POSCAR format:
```
NiRuRh
1.0
-1.3408 1.3408 5.4757
1.3408 -1.3408 5.4757
1.3408 1.3408 -5.4757
Ni Ru Rh
1 1 1
Direct
0.0000 0.0000 0.0000 Ni
0.3401 0.3401 0.0000 Ru
0.6694 0.6694 0.0000 Rh
```

Properties
**DFT total energy**: -7.3903 eV/atom
**Energy relative to the lowest polymorph listed for this composition**: 0.12 eV/f.u.
**ΔE_f**: 0.079 eV per atom

---

NiRu2Rh3 | PBE-GGA | optimized geometry

The structure in POSCAR format:
```
NiRu2Rh3
1.0
6.3858 0.0000 0.0000
0.0000 2.7367 0.0000
-0.0578 0.0000 9.4208
Ni Ru Rh
2 4 6
Direct
0.2017 0.2500 0.2484 Ni
0.7983 0.7500 0.7516 Ni
0.0731 0.2500 0.6097 Ru
0.3456 0.7500 0.0446 Ru
0.6544 0.2500 0.9554 Ru
0.9269 0.7500 0.3903 Ru
0.0778 0.2500 0.8884 Rh
0.3400 0.7500 0.4538 Rh
0.3941 0.7500 0.7527 Rh
0.6059 0.2500 0.2473 Rh
0.6600 0.2500 0.5462 Rh
0.9222 0.7500 0.1116 Rh
```

Properties
**DFT total energy**: -7.6375 eV/atom
**ΔE_f**: 0.094 eV per atom

---

Ni3RuRh7 | PBE-GGA | optimized geometry

The structure in POSCAR format:
```
Ni3RuRh7
1.0
4.3933 -4.4722 0.0000
4.3933 4.4722 0.0000
-2.1496 0.0000 4.0809
Ni Ru Rh
3 1 7
Direct
0.0000 0.0000 0.0000 Ni
0.2284 0.7716 0.5000 Ni
0.7716 0.2284 0.5000 Ni
0.5000 0.5000 0.0000 Ru
0.0682 0.5915 0.8292 Rh
0.1760 0.1760 0.5967 Rh
0.4085 0.9318 0.1708 Rh
0.5000 0.5000 0.5000 Rh
0.5915 0.0682 0.8292 Rh
0.8240 0.8240 0.4033 Rh
0.9318 0.4085 0.1708 Rh
```

Properties
**DFT total energy**: -6.6650 eV/atom
**ΔE_f**: 0.433 eV per atom

---

What did the first record say?
Ni8RuRh2 | PBE-GGA | optimized geometry

The structure in POSCAR format:
```
Ni8RuRh2
1.0
4.0472 -1.8024 0.0000
4.0472 1.8024 0.0000
-2.4024 0.0000 8.9639
Ni Ru Rh
8 1 2
Direct
0.0474 0.0474 0.3192 Ni
0.1322 0.1322 0.9535 Ni
0.2277 0.2277 0.5894 Ni
0.4098 0.4098 0.8678 Ni
0.5902 0.5902 0.1322 Ni
0.7723 0.7723 0.4106 Ni
0.8678 0.8678 0.0465 Ni
0.9526 0.9526 0.6808 Ni
0.5000 0.5000 0.5000 Ru
0.3169 0.3169 0.2228 Rh
0.6831 0.6831 0.7772 Rh
```

Properties
**DFT total energy**: -6.3383 eV/atom
**ΔE_f**: 0.046 eV per atom

---

ΔE_f of number 6 (Ni3RuRh7)? 0.433 eV per atom

---

What is the formula in the sixth record? Ni3RuRh7